! BaPb2 (PBEsol, optimized geometry); values from VASP
! Formation enthalpy at 0 K (meV/atom): -451
! Space group: No. 12
! Volume (Å³ per atom): 35.386
&SYSTEM
  ibrav = 0, nat = 6, ntyp = 2
/
ATOMIC_SPECIES
Pb 207.20 Pb.upf
Ba 137.33 Ba.upf
CELL_PARAMETERS angstrom
5.2156 0.0000 0.0000
-2.6078 6.3284 -0.0710
0.0000 -2.9095 6.4653
ATOMIC_POSITIONS crystal
Pb 0.8908 0.7815 0.3067
Pb 0.4932 0.9864 0.7656
Pb 0.5068 0.0136 0.2344
Pb 0.1092 0.2185 0.6933
Ba 0.8098 0.6196 0.7678
Ba 0.1902 0.3804 0.2322



! BaPb (PBEsol, optimized geometry); values from VASP
! Formation enthalpy at 0 K (meV/atom): -246
! Space group: No. 164
! Volume (Å³ per atom): 46.716
&SYSTEM
  ibrav = 0, nat = 4, ntyp = 2
/
ATOMIC_SPECIES
Ba 137.33 Ba.upf
Pb 207.20 Pb.upf
CELL_PARAMETERS angstrom
-2.0466 -3.8257 -1.7076
1.5542 0.0479 4.3957
-8.8220 3.3435 3.0827
ATOMIC_POSITIONS crystal
Ba 0.6667 0.3333 0.1947
Ba 0.3333 0.6667 0.8053
Pb 0.3333 0.6667 0.4262
Pb 0.6667 0.3333 0.5738



! BaPb3 (PBEsol, optimized geometry); values from VASP
! Formation enthalpy at 0 K (meV/atom): -337
! Space group: No. 59
! Volume (Å³ per atom): 33.540
&SYSTEM
  ibrav = 0, nat = 8, ntyp = 2
/
ATOMIC_SPECIES
Pb 207.20 Pb.upf
Ba 137.33 Ba.upf
CELL_PARAMETERS angstrom
-1.1648 1.7330 -5.5002
3.2228 -5.2624 -2.3406
-5.8733 -3.6400 0.0969
ATOMIC_POSITIONS crystal
Pb 0.0000 0.8582 0.7654
Pb 0.5000 0.1418 0.2654
Pb 0.5000 0.7507 0.0000
Pb 0.0000 0.8582 0.2346
Pb 0.5000 0.1418 0.7346
Ba 0.5000 0.6295 0.5000
Pb 0.0000 0.2493 0.5000
Ba 0.0000 0.3705 0.0000



! BaPb2 (PBEsol, optimized geometry); values from VASP
! Formation enthalpy at 0 K (meV/atom): -488
! Space group: No. 227
! Volume (Å³ per atom): 34.117
&SYSTEM
  ibrav = 0, nat = 6, ntyp = 2
/
ATOMIC_SPECIES
Pb 207.20 Pb.upf
Ba 137.33 Ba.upf
CELL_PARAMETERS angstrom
-2.9889 -5.6648 1.6547
2.2248 -3.5388 5.1273
-3.5597 -0.3591 5.5643
ATOMIC_POSITIONS crystal
Pb 0.1250 0.1250 0.6250
Ba 0.5000 0.5000 0.5000
Ba 0.7500 0.7500 0.7500
Pb 0.1250 0.1250 0.1250
Pb 0.6250 0.1250 0.1250
Pb 0.1250 0.6250 0.1250



! BaPb (PBEsol, optimized geometry); values from VASP
! Formation enthalpy at 0 K (meV/atom): -551
! Space group: No. 74
! Volume (Å³ per atom): 36.637
&SYSTEM
  ibrav = 0, nat = 4, ntyp = 2
/
ATOMIC_SPECIES
Ba 137.33 Ba.upf
Pb 207.20 Pb.upf
CELL_PARAMETERS angstrom
-1.6109 2.5499 3.3932
-4.8867 0.1657 -2.4445
1.6319 -6.2401 2.4270
ATOMIC_POSITIONS crystal
Ba 0.8885 0.6385 0.7769
Ba 0.1115 0.3615 0.2231
Pb 0.6617 0.9117 0.3233
Pb 0.3383 0.0883 0.6767



! BaPb3 (PBEsol, optimized geometry); values from VASP
! Formation enthalpy at 0 K (meV/atom): -255
! Space group: No. 44
! Volume (Å³ per atom): 32.718
&SYSTEM
  ibrav = 0, nat = 4, ntyp = 2
/
ATOMIC_SPECIES
Ba 137.33 Ba.upf
Pb 207.20 Pb.upf
CELL_PARAMETERS angstrom
3.7686 0.0000 0.0000
0.0000 6.0390 0.0000
-1.8843 -3.0195 5.7504
ATOMIC_POSITIONS crystal
Ba 0.0000 0.0323 0.0000
Pb 0.2324 0.8710 0.4648
Pb 0.5000 0.5239 0.0000
Pb 0.7676 0.4062 0.5352



! BaPb (PBEsol, optimized geometry); values from VASP
! Formation enthalpy at 0 K (meV/atom): -265
! Space group: No. 227
! Volume (Å³ per atom): 36.399
&SYSTEM
  ibrav = 0, nat = 4, ntyp = 2
/
ATOMIC_SPECIES
Ba 137.33 Ba.upf
Pb 207.20 Pb.upf
CELL_PARAMETERS angstrom
5.9050 0.0000 0.0000
2.9525 5.1139 0.0000
2.9525 1.7046 4.8214
ATOMIC_POSITIONS crystal
Ba 0.5000 0.5000 0.5000
Pb 0.2500 0.2500 0.2500
Pb 0.0000 0.0000 0.0000
Ba 0.7500 0.7500 0.7500



! Ba3Pb (PBEsol, optimized geometry); values from VASP
! Formation enthalpy at 0 K (meV/atom): -137
! Space group: No. 166
! Volume (Å³ per atom): 42.455
&SYSTEM
  ibrav = 0, nat = 4, ntyp = 2
/
ATOMIC_SPECIES
Pb 207.20 Pb.upf
Ba 137.33 Ba.upf
CELL_PARAMETERS angstrom
3.9410 0.0000 0.0000
-1.3137 7.0539 0.0000
-1.3137 -3.5269 6.1088
ATOMIC_POSITIONS crystal
Pb 0.0000 0.0000 0.0000
Ba 0.5000 0.0000 0.5000
Ba 0.0000 0.5000 0.5000
Ba 0.5000 0.5000 0.0000



! BaPt4Pb (PBEsol, optimized geometry); values from VASP
! Formation enthalpy at 0 K (meV/atom): -431
! Space group: No. 216
! Volume (Å³ per atom): 19.687
&SYSTEM
  ibrav = 0, nat = 6, ntyp = 3
/
ATOMIC_SPECIES
Pb 207.20 Pb.upf
Pt 195.08 Pt.upf
Ba 137.33 Ba.upf
CELL_PARAMETERS angstrom
-2.4146 -0.9101 -4.8654
0.7592 -4.7972 -2.5965
-4.1429 -3.6081 -0.3860
ATOMIC_POSITIONS crystal
Pb 0.0000 0.0000 0.0000
Pt 0.3743 0.3743 0.3743
Pt 0.8771 0.3743 0.3743
Pt 0.3743 0.3743 0.8771
Pt 0.3743 0.8771 0.3743
Ba 0.7500 0.7500 0.7500



! Ba2PtPb (PBEsol, optimized geometry); values from VASP
! Formation enthalpy at 0 K (meV/atom): -548
! Space group: No. 123
! Volume (Å³ per atom): 31.848
&SYSTEM
  ibrav = 0, nat = 4, ntyp = 3
/
ATOMIC_SPECIES
Pb 207.20 Pb.upf
Ba 137.33 Ba.upf
Pt 195.08 Pt.upf
CELL_PARAMETERS angstrom
-0.1302 2.7943 2.5159
0.4780 -2.4846 2.7844
8.9216 0.9951 -0.6436
ATOMIC_POSITIONS crystal
Pb 0.5000 0.5000 0.0000
Ba 0.0000 0.0000 0.7094
Pt 0.5000 0.5000 0.5000
Ba 0.0000 0.0000 0.2906



! Ba3PtPb (PBEsol, optimized geometry); values from VASP
! Formation enthalpy at 0 K (meV/atom): 356
! Space group: No. 221
! Volume (Å³ per atom): 53.610
&SYSTEM
  ibrav = 0, nat = 5, ntyp = 3
/
ATOMIC_SPECIES
Pb 207.20 Pb.upf
Ba 137.33 Ba.upf
Pt 195.08 Pt.upf
CELL_PARAMETERS angstrom
-5.4807 -3.3134 0.7458
2.2445 -4.5962 -3.9255
2.5489 -3.0772 5.0603
ATOMIC_POSITIONS crystal
Pb 0.0000 0.0000 0.0000
Ba 0.0000 0.0000 0.5000
Ba 0.5000 0.0000 0.0000
Pt 0.5000 0.5000 0.5000
Ba 0.0000 0.5000 0.0000



! BaPt3Pb (PBEsol, optimized geometry); values from VASP
! Formation enthalpy at 0 K (meV/atom): 1486
! Space group: No. 221
! Volume (Å³ per atom): 28.768
&SYSTEM
  ibrav = 0, nat = 5, ntyp = 3
/
ATOMIC_SPECIES
Ba 137.33 Ba.upf
Pt 195.08 Pt.upf
Pb 207.20 Pb.upf
CELL_PARAMETERS angstrom
5.2395 0.0000 0.0000
0.0000 5.2395 0.0000
0.0000 0.0000 5.2395
ATOMIC_POSITIONS crystal
Ba 0.0000 0.0000 0.0000
Pt 0.0000 0.0000 0.5000
Pt 0.0000 0.5000 0.0000
Pb 0.5000 0.5000 0.5000
Pt 0.5000 0.0000 0.0000



! Ba3RePb (PBEsol, optimized geometry); values from VASP
! Formation enthalpy at 0 K (meV/atom): 1320
! Space group: No. 221
! Volume (Å³ per atom): 55.236
&SYSTEM
  ibrav = 0, nat = 5, ntyp = 3
/
ATOMIC_SPECIES
Pb 207.20 Pb.upf
Re 186.21 Re.upf
Ba 137.33 Ba.upf
CELL_PARAMETERS angstrom
-2.2009 6.0875 -0.7128
0.4719 -0.5868 -6.4686
-6.1109 -2.2378 -0.2429
ATOMIC_POSITIONS crystal
Pb 0.0000 0.0000 0.0000
Re 0.5000 0.5000 0.5000
Ba 0.0000 0.5000 0.0000
Ba 0.5000 0.0000 0.0000
Ba 0.0000 0.0000 0.5000



! BaRe2Pb (PBEsol, optimized geometry); values from VASP
! Formation enthalpy at 0 K (meV/atom): 1267
! Space group: No. 123
! Volume (Å³ per atom): 24.625
&SYSTEM
  ibrav = 0, nat = 4, ntyp = 3
/
ATOMIC_SPECIES
Ba 137.33 Ba.upf
Pb 207.20 Pb.upf
Re 186.21 Re.upf
CELL_PARAMETERS angstrom
3.7577 0.0000 0.0000
0.0000 3.7577 0.0000
0.0000 0.0000 6.9756
ATOMIC_POSITIONS crystal
Ba 0.5000 0.5000 0.0000
Pb 0.5000 0.5000 0.5000
Re 0.0000 0.0000 0.6640
Re 0.0000 0.0000 0.3360



! BaTiRePb2 (PBEsol, optimized geometry); values from VASP
! Formation enthalpy at 0 K (meV/atom): 540
! Space group: No. 123
! Volume (Å³ per atom): 27.327
&SYSTEM
  ibrav = 0, nat = 5, ntyp = 4
/
ATOMIC_SPECIES
Re 186.21 Re.upf
Ba 137.33 Ba.upf
Pb 207.20 Pb.upf
Ti 47.87 Ti.upf
CELL_PARAMETERS angstrom
4.7014 0.0000 0.0000
0.0000 5.3909 0.0000
0.0000 0.0000 5.3909
ATOMIC_POSITIONS crystal
Re 0.5000 0.0000 0.0000
Ba 0.5000 0.5000 0.5000
Pb 0.0000 0.0000 0.5000
Ti 0.0000 0.0000 0.0000
Pb 0.0000 0.5000 0.0000



! BaRh2Pb (PBEsol, optimized geometry); values from VASP
! Formation enthalpy at 0 K (meV/atom): -190
! Space group: No. 160
! Volume (Å³ per atom): 25.232
&SYSTEM
  ibrav = 0, nat = 4, ntyp = 3
/
ATOMIC_SPECIES
Ba 137.33 Ba.upf
Pb 207.20 Pb.upf
Rh 102.91 Rh.upf
CELL_PARAMETERS angstrom
4.3847 0.0000 0.0000
2.1923 3.7972 0.0000
2.1923 1.2657 6.0619
ATOMIC_POSITIONS crystal
Ba 0.5167 0.5167 0.4498
Pb 0.7115 0.7115 0.8656
Rh 0.3038 0.3038 0.0887
Rh 0.9764 0.9764 0.0709



! Ba4RhPb (PBEsol, optimized geometry); values from VASP
! Formation enthalpy at 0 K (meV/atom): 608
! Space group: No. 216
! Volume (Å³ per atom): 35.989
&SYSTEM
  ibrav = 0, nat = 6, ntyp = 3
/
ATOMIC_SPECIES
Rh 102.91 Rh.upf
Pb 207.20 Pb.upf
Ba 137.33 Ba.upf
CELL_PARAMETERS angstrom
-0.1293 -6.7150 0.4902
5.7597 -3.4490 0.5276
1.6175 -2.9831 5.8166
ATOMIC_POSITIONS crystal
Rh 0.0000 0.0000 0.0000
Pb 0.7500 0.7500 0.7500
Ba 0.3748 0.3748 0.8757
Ba 0.3748 0.8757 0.3748
Ba 0.8757 0.3748 0.3748
Ba 0.3748 0.3748 0.3748



! BaRhPbW2 (PBEsol, optimized geometry); values from VASP
! Formation enthalpy at 0 K (meV/atom): 1462
! Space group: No. 123
! Volume (Å³ per atom): 24.887
&SYSTEM
  ibrav = 0, nat = 5, ntyp = 4
/
ATOMIC_SPECIES
W 183.84 W.upf
Ba 137.33 Ba.upf
Rh 102.91 Rh.upf
Pb 207.20 Pb.upf
CELL_PARAMETERS angstrom
-0.2388 4.6737 -1.4655
-1.8983 -1.4409 -4.2859
-4.7643 0.3783 1.9830
ATOMIC_POSITIONS crystal
W 0.0000 0.5000 0.0000
W 0.5000 0.0000 0.0000
Ba 0.5000 0.5000 0.5000
Rh 0.0000 0.0000 0.0000
Pb 0.0000 0.0000 0.5000



! Ba2Ru2Pb (PBEsol, optimized geometry); values from VASP
! Formation enthalpy at 0 K (meV/atom): 644
! Space group: No. 139
! Volume (Å³ per atom): 28.998
&SYSTEM
  ibrav = 0, nat = 5, ntyp = 3
/
ATOMIC_SPECIES
Ru 101.07 Ru.upf
Ba 137.33 Ba.upf
Pb 207.20 Pb.upf
CELL_PARAMETERS angstrom
-1.3224 -4.9921 -2.6472
1.0620 -0.3193 5.6962
-4.2529 3.9347 0.3292
ATOMIC_POSITIONS crystal
Ru 0.0000 0.3500 0.3500
Ba 0.5000 0.2500 0.7500
Ba 0.5000 0.7500 0.2500
Ru 0.0000 0.6500 0.6500
Pb 0.0000 0.0000 0.0000



! BaRuPb2 (PBEsol, optimized geometry); values from VASP
! Formation enthalpy at 0 K (meV/atom): 444
! Space group: No. 123
! Volume (Å³ per atom): 26.122
&SYSTEM
  ibrav = 0, nat = 4, ntyp = 3
/
ATOMIC_SPECIES
Pb 207.20 Pb.upf
Ba 137.33 Ba.upf
Ru 101.07 Ru.upf
CELL_PARAMETERS angstrom
-0.9610 -3.9517 -2.0465
1.4474 -2.2549 3.6745
-4.6642 0.1387 1.9224
ATOMIC_POSITIONS crystal
Pb 0.0000 0.0000 0.0000
Ba 0.0000 0.5000 0.5000
Ru 0.5000 0.0000 0.5000
Pb 0.5000 0.5000 0.0000